# 1
Below is an optimized crystal structure of MgTlCo2, with properties calculated at the PBE level.

Output
As for the formation energy: 0.42 eV/atom.

a b c (Å): 4.7105 4.7105 5.0585
angles (deg): 102.10 102.10 37.68
Last column: nearest neighbours and their distance in Å.
Atoms (fractional coordinates):
Mg (0.0000, 0.0000, 0.0000)  6 Co 2.58-2.70
Tl (0.5000, 0.5000, 0.5000)  6 Co 2.87-3.03, 4 Mg 2.95, 2 Tl 3.04
Co (0.2487, 0.2487, 0.8177)  2 Co 2.39, 1 Mg 2.58
Co (0.7513, 0.7513, 0.1823)  2 Co 2.39, 1 Mg 2.58

# 2
Below is an optimized crystal structure of MgTl2Co, with properties calculated at the PBE level.

Output
As for the formation energy: 0.35 eV/atom.

a b c (Å): 3.4153 3.4153 7.0312
angles (deg): 90.00 90.00 90.00
Last column: nearest neighbours and their distance in Å.
Atoms (fractional coordinates):
Mg (0.0000, 0.0000, 0.0000)  8 Tl 3.11, 4 Mg 3.42
Tl (0.5000, 0.5000, 0.2783)  4 Co 2.87, 4 Mg 3.11, 1 Tl 3.12
Tl (0.5000, 0.5000, 0.7217)  4 Co 2.87, 4 Mg 3.11, 1 Tl 3.12
Co (0.0000, 0.0000, 0.5000)  8 Tl 2.87

# 3
Below is an optimized crystal structure of MgTl2Co, with properties calculated at the PBE level.

Output
As for the formation energy: 0.26 eV/atom.

a b c (Å): 4.0094 3.2038 7.3437
angles (deg): 90.00 105.72 90.00
Last column: nearest neighbours and their distance in Å.
Atoms (fractional coordinates):
Mg (0.0000, 0.0000, 0.0000)  4 Co 2.61
Tl (0.3460, 0.5000, 0.6932)  1 Co 2.63
Tl (0.6860, 0.0000, 0.3697)  2 Co 2.68
Co (0.5322, 0.5000, 0.0652)  4 Mg 2.61, 3 Tl 2.63-2.68

# 4
Below is an optimized crystal structure of Mg2TlCo, with properties calculated at the PBE level.

Output
As for the formation energy: 0.23 eV/atom.

a b c (Å): 4.6592 4.6592 4.6592
angles (deg): 60.00 60.00 60.00
Last column: nearest neighbours and their distance in Å.
Atoms (fractional coordinates):
Mg (0.0000, 0.0000, 0.0000)  4 Tl 2.85, 4 Mg 2.85
Mg (0.2500, 0.2500, 0.2500)  4 Co 2.85, 4 Mg 2.85
Tl (0.7500, 0.7500, 0.7500)  4 Co 2.85, 4 Mg 2.85
Co (0.5000, 0.5000, 0.5000)  4 Tl 2.85, 4 Mg 2.85

# 5
Below is an optimized crystal structure of MgTlCo2, with properties calculated at the PBE level.

Output
As for the formation energy: 0.38 eV/atom.

a b c (Å): 3.1539 3.1539 6.0447
angles (deg): 90.00 90.00 90.00
Last column: nearest neighbours and their distance in Å.
Atoms (fractional coordinates):
Mg (0.0000, 0.0000, 0.0000)  8 Co 2.67
Tl (0.0000, 0.0000, 0.5000)  8 Co 2.72, 2 Mg 3.02
Co (0.5000, 0.5000, 0.2414)  4 Mg 2.67, 4 Tl 2.72, 1 Co 2.92
Co (0.5000, 0.5000, 0.7586)  4 Mg 2.67, 4 Tl 2.72, 1 Co 2.92

# 6
Below is an optimized crystal structure of MgTl2Co, with properties calculated at the PBE level.

Output
As for the formation energy: 0.26 eV/atom.

a b c (Å): 3.2497 3.2497 8.2259
angles (deg): 90.00 90.00 90.00
Last column: nearest neighbours and their distance in Å.
Atoms (fractional coordinates):
Mg (0.0000, 0.0000, 0.0000)  4 Co 2.70
Tl (0.0000, 0.0000, 0.6316)  4 Co 2.81, 1 Mg 3.03
Tl (0.5000, 0.5000, 0.2971)  8 Tl 3.25-3.59, 4 Mg 3.35
Co (0.5000, 0.5000, 0.8275)  4 Mg 2.70, 4 Tl 2.81

# 7
Below is an optimized crystal structure of MgTl2Co, with properties calculated at the PBE level.

Output
As for the formation energy: 0.41 eV/atom.

a b c (Å): 4.8126 4.8126 4.8126
angles (deg): 60.00 60.00 60.00
Last column: nearest neighbours and their distance in Å.
Atoms (fractional coordinates):
Mg (0.0000, 0.0000, 0.0000)  8 Tl 2.95
Tl (0.2500, 0.2500, 0.2500)  4 Co 2.95, 4 Mg 2.95
Tl (0.7500, 0.7500, 0.7500)  4 Co 2.95, 4 Mg 2.95
Co (0.5000, 0.5000, 0.5000)  8 Tl 2.95

# 8
Below is an optimized crystal structure of MgTlCo2, with properties calculated at the PBE level.

Output
As for the formation energy: 0.69 eV/atom.

a b c (Å): 5.7154 5.7154 5.7154
angles (deg): 102.91 102.91 123.57
Last column: nearest neighbours and their distance in Å.
Atoms (fractional coordinates):
Mg (0.0000, 0.0000, 0.0000)  4 Co 2.59, 2 Tl 2.70
Mg (0.7500, 0.2500, 0.5000)  4 Co 2.59, 2 Tl 2.70
Tl (0.2500, 0.7500, 0.5000)  4 Co 2.62, 2 Mg 2.70
Tl (0.5000, 0.5000, 0.0000)  4 Co 2.62, 2 Mg 2.70
Co (0.1218, 0.6250, 0.9968)  2 Mg 2.59, 2 Tl 2.62, 2 Co 2.70
Co (0.3750, 0.3718, 0.4968)  2 Mg 2.59, 2 Tl 2.62, 2 Co 2.70
Co (0.6282, 0.1250, 0.0032)  2 Mg 2.59, 2 Tl 2.62, 2 Co 2.70
Co (0.8750, 0.8782, 0.5032)  2 Mg 2.59, 2 Tl 2.62, 2 Co 2.70

# 9
Below is an optimized crystal structure of Mg2TlCo, with properties calculated at the PBE level.

Output
As for the formation energy: 0.21 eV/atom.

a b c (Å): 3.1769 4.3240 5.8492
angles (deg): 90.00 105.56 90.00
Last column: nearest neighbours and their distance in Å.
Atoms (fractional coordinates):
Mg (0.0000, 0.0000, 0.0000)  1 Co 2.68
Mg (0.3407, 0.5000, 0.6912)  4 Co 2.84, 3 Tl 2.98-3.12, 2 Mg 3.18
Tl (0.6188, 0.5000, 0.2442)  2 Co 2.68, 2 Mg 2.98
Co (0.7595, 0.0000, 0.5253)  5 Mg 2.68-2.84, 2 Tl 2.68

# 10
Below is an optimized crystal structure of MgTlCo2, with properties calculated at the PBE level.

Output
As for the formation energy: 0.40 eV/atom.

a b c (Å): 4.4517 4.4517 4.4517
angles (deg): 60.00 60.00 60.00
Last column: nearest neighbours and their distance in Å.
Atoms (fractional coordinates):
Mg (0.0000, 0.0000, 0.0000)  4 Co 2.73, 4 Tl 2.73
Tl (0.2500, 0.2500, 0.2500)  4 Co 2.73, 4 Mg 2.73
Co (0.5000, 0.5000, 0.5000)  4 Co 2.73, 4 Tl 2.73
Co (0.7500, 0.7500, 0.7500)  4 Co 2.73, 4 Mg 2.73

# 11
Below is an optimized crystal structure of Mg2TlCo, with properties calculated at the PBE level.

Output
As for the formation energy: 0.17 eV/atom.

a b c (Å): 5.4127 5.4127 4.5603
angles (deg): 114.38 114.38 38.04
Last column: nearest neighbours and their distance in Å.
Atoms (fractional coordinates):
Mg (0.0000, 0.0000, 0.0000)  2 Co 2.70, 4 Tl 2.92-2.93
Mg (0.2200, 0.2200, 0.7198)  4 Co 2.88-2.89, 4 Mg 3.04-3.12, 4 Tl 3.06-3.12
Tl (0.4484, 0.4484, 0.4478)  2 Co 2.73, 4 Mg 2.92-2.93
Co (0.7221, 0.7221, 0.2206)  6 Mg 2.70-2.89, 2 Tl 2.73

# 12
Below is an optimized crystal structure of Mg6Tl2Co, with properties calculated at the PBE level.

Output
As for the formation energy: 0.10 eV/atom.

a b c (Å): 8.6394 8.6394 3.3162
angles (deg): 100.92 100.92 56.43
Last column: nearest neighbours and their distance in Å.
Atoms (fractional coordinates):
Mg (0.1597, 0.5172, 0.3407)  1 Co 2.81, 3 Mg 2.92-2.99, 3 Tl 3.06-3.11
Mg (0.2436, 0.7564, 0.0000)  2 Co 2.67, 4 Mg 2.99
Mg (0.4828, 0.8403, 0.6593)  1 Co 2.81, 3 Mg 2.92-2.99, 3 Tl 3.06-3.11
Mg (0.5172, 0.1597, 0.3407)  1 Co 2.81, 3 Mg 2.92-2.99, 3 Tl 3.06-3.11
Mg (0.7564, 0.2436, 0.0000)  2 Co 2.67, 4 Mg 2.99
Mg (0.8403, 0.4828, 0.6593)  1 Co 2.81, 3 Mg 2.92-2.99, 3 Tl 3.06-3.11
Tl (0.1578, 0.1578, 0.1583)  8 Mg 3.06-3.11, 2 Tl 3.32
Tl (0.8422, 0.8422, 0.8417)  8 Mg 3.06-3.11, 2 Tl 3.32
Co (0.5000, 0.5000, 0.5000)  8 Mg 2.67-2.81

# 13
Below is an optimized crystal structure of MgTlCo2, with properties calculated at the PBE level.

Output
As for the formation energy: 0.30 eV/atom.

a b c (Å): 5.1559 5.1559 4.3715
angles (deg): 114.83 114.83 37.97
Last column: nearest neighbours and their distance in Å.
Atoms (fractional coordinates):
Mg (0.0000, 0.0000, 0.0000)  8 Co 2.77-2.96, 4 Tl 2.91-2.96
Tl (0.7785, 0.7785, 0.2791)  8 Co 2.79-3.04, 4 Mg 2.91-2.96
Co (0.2270, 0.2270, 0.7277)  2 Co 2.36
Co (0.5372, 0.5372, 0.5377)  2 Co 2.36

# 14
Below is an optimized crystal structure of MgTlCo2, with properties calculated at the PBE level.

Output
As for the formation energy: 0.34 eV/atom.

a b c (Å): 4.2415 4.2415 3.3361
angles (deg): 90.00 90.00 90.00
Last column: nearest neighbours and their distance in Å.
Atoms (fractional coordinates):
Mg (0.0000, 0.0000, 0.0000)  8 Co 2.70, 4 Tl 3.00
Tl (0.5000, 0.5000, 0.0000)  8 Co 2.70, 4 Mg 3.00
Co (0.0000, 0.5000, 0.5000)  4 Tl 2.70, 4 Mg 2.70, 4 Co 3.00
Co (0.5000, 0.0000, 0.5000)  4 Tl 2.70, 4 Mg 2.70, 4 Co 3.00

# 15
Below is an optimized crystal structure of Mg6Tl2Co, with properties calculated at the PBE level.

Output
As for the formation energy: -0.01 eV/atom.

a b c (Å): 8.1971 8.1971 3.2936
angles (deg): 90.00 90.00 120.00
Last column: nearest neighbours and their distance in Å.
Atoms (fractional coordinates):
Mg (0.0000, 0.2486, 0.0000)  2 Co 2.62
Mg (0.0000, 0.6474, 0.5000)  1 Co 2.89, 4 Mg 3.05, 4 Tl 3.13
Mg (0.2486, 0.0000, 0.0000)  2 Co 2.62
Mg (0.3526, 0.3526, 0.5000)  1 Co 2.89, 4 Mg 3.05, 4 Tl 3.13
Mg (0.6474, 0.0000, 0.5000)  1 Co 2.89, 4 Mg 3.05, 4 Tl 3.13
Mg (0.7514, 0.7514, 0.0000)  2 Co 2.62
Tl (0.3333, 0.6667, 0.0000)  9 Mg 3.13-3.14, 2 Tl 3.29
Tl (0.6667, 0.3333, 0.0000)  9 Mg 3.13-3.14, 2 Tl 3.29
Co (0.0000, 0.0000, 0.5000)  9 Mg 2.62-2.89

# 16
Below is an optimized crystal structure of Mg2TlCo, with properties calculated at the PBE level.

Output
As for the formation energy: 0.21 eV/atom.

a b c (Å): 5.1592 5.1592 5.1592
angles (deg): 132.60 132.60 69.28
Last column: nearest neighbours and their distance in Å.
Atoms (fractional coordinates):
Mg (0.2500, 0.7500, 0.5000)  4 Mg 2.93, 4 Tl 2.97, 4 Co 2.97
Mg (0.7500, 0.2500, 0.5000)  4 Mg 2.93, 4 Tl 2.97, 4 Co 2.97
Tl (0.0000, 0.0000, 0.0000)  4 Co 2.93, 8 Mg 2.97
Co (0.5000, 0.5000, 0.0000)  4 Tl 2.93, 8 Mg 2.97

# 17
Below is an optimized crystal structure of Mg2TlCo, with properties calculated at the PBE level.

Output
As for the formation energy: 0.10 eV/atom.

a b c (Å): 3.1685 3.1376 7.7057
angles (deg): 90.00 90.32 90.00
Last column: nearest neighbours and their distance in Å.
Atoms (fractional coordinates):
Mg (0.0019, 0.0000, 0.1860)  4 Co 2.65, 1 Mg 2.87
Mg (0.9981, 0.0000, 0.8140)  4 Co 2.65, 1 Mg 2.87
Tl (0.5000, 0.5000, 0.5000)  4 Tl 3.14-3.17, 8 Mg 3.28-3.30
Co (0.5000, 0.5000, 0.0000)  8 Mg 2.65

# 18
Below is an optimized crystal structure of Mg2TlCo, with properties calculated at the PBE level.

Output
As for the formation energy: 0.23 eV/atom.

a b c (Å): 4.7117 4.7117 4.7117
angles (deg): 60.00 60.00 60.00
Last column: nearest neighbours and their distance in Å.
Atoms (fractional coordinates):
Mg (0.2500, 0.2500, 0.2500)  4 Tl 2.89, 4 Co 2.89
Mg (0.7500, 0.7500, 0.7500)  4 Tl 2.89, 4 Co 2.89
Tl (0.0000, 0.0000, 0.0000)  8 Mg 2.89
Co (0.5000, 0.5000, 0.5000)  8 Mg 2.89

# 19
Below is an optimized crystal structure of MgTl2Co, with properties calculated at the PBE level.

Output
As for the formation energy: 0.40 eV/atom.

a b c (Å): 4.4751 4.4751 4.0929
angles (deg): 90.00 90.00 90.00
Last column: nearest neighbours and their distance in Å.
Atoms (fractional coordinates):
Mg (0.0000, 0.0000, 0.0000)  8 Tl 3.03, 4 Co 3.16
Tl (0.0000, 0.5000, 0.5000)  4 Co 3.03, 4 Mg 3.03, 4 Tl 3.16
Tl (0.5000, 0.0000, 0.5000)  4 Co 3.03, 4 Mg 3.03, 4 Tl 3.16
Co (0.5000, 0.5000, 0.0000)  8 Tl 3.03, 4 Mg 3.16

# 20
Below is an optimized crystal structure of MgTl2Co, with properties calculated at the PBE level.

Output
As for the formation energy: 0.39 eV/atom.

a b c (Å): 5.5026 5.5026 5.5026
angles (deg): 135.07 135.07 65.42
Last column: nearest neighbours and their distance in Å.
Atoms (fractional coordinates):
Mg (0.0000, 0.0000, 0.0000)  8 Tl 2.97-3.13, 4 Co 3.13
Tl (0.2500, 0.7500, 0.5000)  4 Co 2.97, 4 Tl 3.13, 4 Mg 3.13
Tl (0.5000, 0.5000, 0.0000)  4 Mg 2.97, 4 Tl 3.13, 4 Co 3.13
Co (0.7500, 0.2500, 0.5000)  8 Tl 2.97-3.13, 4 Mg 3.13